(1)
# Ba2AgP2

A relaxed Ba2AgP2 crystal (PBE, the Alexandria database).

Lattice parameters (Å, degrees): 7.954 7.954 4.571 90.00 90.00 90.00
Space group P4/mbm (No. 127)
Asymmetric unit:
Ba 0.150 0.350 0.000 (multiplicity 4)
Ag 0.000 0.000 0.500 (multiplicity 2)
P 0.159 0.659 0.500 (multiplicity 4)

Results
energy relative to the elements = -0.498 eV/atom
calculated total energy = -4.001 eV/atom
N(E_F) = 0.765 states/eV per atom
excess energy over the best structure of this formula in the dataset = 0.2791 eV per atom
crystal system = tetragonal

=====

(2)
# ScTcRu2C

A relaxed ScTcRu2C crystal (PBE, the Alexandria database).

Lattice parameters (Å, degrees): 4.100 4.100 4.117 90.00 90.00 90.00
Space group P4/mmm (No. 123)
Asymmetric unit:
Sc 0.000 0.000 0.000 (multiplicity 1)
Tc 0.500 0.500 0.000 (multiplicity 1)
Ru 0.000 0.500 0.500 (multiplicity 2)
C 0.500 0.500 0.500 (multiplicity 1)

Results
energy relative to the elements = -0.190 eV/atom
calculated total energy = -9.084 eV/atom
N(E_F) = 1.557 states/eV per atom
crystal system = tetragonal

=====

(3)
# CsNaS3

A relaxed CsNaS3 crystal (PBE, the Alexandria database).

Lattice parameters (Å, degrees): 5.681 5.681 5.681 90.00 90.00 90.00
Space group Pm-3m (No. 221)
Asymmetric unit:
Cs 0.000 0.000 0.000 (multiplicity 1)
Na 0.500 0.500 0.500 (multiplicity 1)
S 0.000 0.000 0.500 (multiplicity 3)

Results
ΔE_f (raw) = 0.67 eV/atom
calculated total energy = -2.240 eV/atom
N(E_F) = 1.698 states/eV per atom
excess energy over the best structure of this formula in the dataset = 0.5547 eV per atom
crystal system = cubic